1.
The following is a DFT calculation (PBE-GGA) of a relaxed RbSmAsO crystal.

Values from the calculation:
**Distance to the lowest polymorph of the same formula**: 0.0 meV/atom
**Symmetry**: Pmc2_1
**Calculated density**: 4.64 g/cm³

Cell lengths 3.5446, 8.1190, 8.1252 Å; angles 90.00, 90.00, 90.00 degrees
Positions (direct):
Rb 0.0000 0.0559 0.0000
Rb 0.0000 0.9441 0.5000
Sm 0.5000 0.3707 0.3592
Sm 0.5000 0.6293 0.8592
As 0.5000 0.2982 0.7146
As 0.5000 0.7018 0.2146
O 0.0000 0.2387 0.2869
O 0.0000 0.7613 0.7869

***

2.
The following is a DFT calculation (PBE-GGA) of a relaxed RbTaAsO crystal.

Values from the calculation:
**Distance to the lowest polymorph of the same formula**: 676.6 meV/atom
**Symmetry**: P4/nmm
**Calculated density**: 8.15 g/cm³

Cell lengths 3.8060, 3.8060, 10.0512 Å; angles 90.00, 90.00, 90.00 degrees
Positions (direct):
Rb 0.2500 0.7500 0.0000
Rb 0.7500 0.2500 0.0000
Ta 0.2500 0.2500 0.3884
Ta 0.7500 0.7500 0.6116
As 0.2500 0.2500 0.7377
As 0.7500 0.7500 0.2623
O 0.2500 0.7500 0.5000
O 0.7500 0.2500 0.5000

***

3.
The following is a DFT calculation (PBE-GGA) of a relaxed RbTaAsO crystal.

Values from the calculation:
**Distance to the lowest polymorph of the same formula**: 0.0 meV/atom
**Symmetry**: Pmc2_1
**Calculated density**: 5.55 g/cm³

Cell lengths 3.8558, 8.3256, 6.6634 Å; angles 90.00, 90.00, 90.00 degrees
Positions (direct):
Rb 0.0000 0.1747 0.0000
Rb 0.0000 0.8253 0.5000
Ta 0.5000 0.4138 0.5771
Ta 0.5000 0.5862 0.0771
As 0.0000 0.2316 0.4909
As 0.0000 0.7684 0.9909
O 0.5000 0.4184 0.8706
O 0.5000 0.5816 0.3706

***

4.
The following is a DFT calculation (PBE-GGA) of a relaxed RbTaAsO crystal.

Values from the calculation:
**Distance to the lowest polymorph of the same formula**: 131.8 meV/atom
**Symmetry**: Pmc2_1
**Calculated density**: 5.81 g/cm³

Cell lengths 3.5788, 7.0785, 8.0594 Å; angles 90.00, 90.00, 90.00 degrees
Positions (direct):
Rb 0.0000 0.1853 0.0000
Rb 0.0000 0.8147 0.5000
Ta 0.5000 0.3159 0.4075
Ta 0.5000 0.6841 0.9075
As 0.5000 0.4376 0.6948
As 0.5000 0.5624 0.1948
O 0.0000 0.1988 0.3787
O 0.0000 0.8012 0.8787

***

5.
The following is a DFT calculation (PBE-GGA) of a relaxed RbTaAsO crystal.

Values from the calculation:
**Distance to the lowest polymorph of the same formula**: 889.4 meV/atom
**Symmetry**: P4/nmm
**Calculated density**: 5.96 g/cm³

Cell lengths 4.1207, 4.1207, 11.7301 Å; angles 90.00, 90.00, 90.00 degrees
Positions (direct):
Rb 0.2500 0.2500 0.1498
Rb 0.7500 0.7500 0.8502
Ta 0.2500 0.7500 0.5000
Ta 0.7500 0.2500 0.5000
As 0.2500 0.2500 0.6363
As 0.7500 0.7500 0.3637
O 0.2500 0.7500 0.0000
O 0.7500 0.2500 0.0000

***

6.
The following is a DFT calculation (PBE-GGA) of a relaxed RbTbAsO crystal.

Values from the calculation:
**Distance to the lowest polymorph of the same formula**: 655.6 meV/atom
**Symmetry**: P4/nmm
**Calculated density**: 6.00 g/cm³

Cell lengths 5.9265, 5.9265, 5.2872 Å; angles 90.00, 90.00, 90.00 degrees
Positions (direct):
Rb 0.2500 0.2500 0.0022
Rb 0.7500 0.7500 0.9978
Tb 0.2500 0.7500 0.5000
Tb 0.7500 0.2500 0.5000
As 0.2500 0.2500 0.5024
As 0.7500 0.7500 0.4976
O 0.2500 0.7500 0.0000
O 0.7500 0.2500 0.0000

***

7.
The following is a DFT calculation (PBE-GGA) of a relaxed RbTbAsO crystal.

Values from the calculation:
**Distance to the lowest polymorph of the same formula**: 42.8 meV/atom
**Symmetry**: Pmc2_1
**Calculated density**: 5.12 g/cm³

Cell lengths 5.0163, 7.0822, 6.1273 Å; angles 90.00, 90.00, 90.00 degrees
Positions (direct):
Rb 0.0000 0.1393 0.0000
Rb 0.0000 0.8607 0.5000
Tb 0.5000 0.2082 0.5002
Tb 0.5000 0.7918 0.0002
As 0.0000 0.4221 0.4934
As 0.0000 0.5779 0.9934
O 0.5000 0.9996 0.2512
O 0.5000 0.0004 0.7512

***

8.
The following is a DFT calculation (PBE-GGA) of a relaxed RbTbAsO crystal.

Values from the calculation:
**Distance to the lowest polymorph of the same formula**: 178.9 meV/atom
**Symmetry**: P4/nmm
**Calculated density**: 5.90 g/cm³

Cell lengths 4.1525, 4.1525, 10.9381 Å; angles 90.00, 90.00, 90.00 degrees
Positions (direct):
Rb 0.2500 0.7500 0.0000
Rb 0.7500 0.2500 0.0000
Tb 0.2500 0.2500 0.4100
Tb 0.7500 0.7500 0.5900
As 0.2500 0.2500 0.7618
As 0.7500 0.7500 0.2382
O 0.2500 0.7500 0.5000
O 0.7500 0.2500 0.5000

***

9.
The following is a DFT calculation (PBE-GGA) of a relaxed RbTbAsO crystal.

Values from the calculation:
**Distance to the lowest polymorph of the same formula**: 0.0 meV/atom
**Symmetry**: Pmc2_1
**Calculated density**: 4.93 g/cm³

Cell lengths 3.4874, 8.0160, 8.0769 Å; angles 90.00, 90.00, 90.00 degrees
Positions (direct):
Rb 0.0000 0.0554 0.0000
Rb 0.0000 0.9446 0.5000
Tb 0.5000 0.3713 0.3585
Tb 0.5000 0.6287 0.8585
As 0.5000 0.3018 0.7109
As 0.5000 0.6982 0.2109
O 0.0000 0.2423 0.2875
O 0.0000 0.7577 0.7875

***

10.
The following is a DFT calculation (PBE-GGA) of a relaxed RbTcAsO crystal.

Values from the calculation:
**Distance to the lowest polymorph of the same formula**: 71.3 meV/atom
**Symmetry**: Pmc2_1
**Calculated density**: 5.02 g/cm³

Cell lengths 3.7933, 6.0342, 7.9303 Å; angles 90.00, 90.00, 90.00 degrees
Positions (direct):
Rb 0.0000 0.1589 0.0000
Rb 0.0000 0.8411 0.5000
Tc 0.5000 0.3312 0.3613
Tc 0.5000 0.6688 0.8613
As 0.5000 0.3660 0.6664
As 0.5000 0.6340 0.1664
O 0.0000 0.2978 0.3537
O 0.0000 0.7022 0.8537

***

11.
The following is a DFT calculation (PBE-GGA) of a relaxed RbTcAsO crystal.

Values from the calculation:
**Distance to the lowest polymorph of the same formula**: 490.0 meV/atom
**Symmetry**: P4/nmm
**Calculated density**: 5.22 g/cm³

Cell lengths 3.7563, 3.7563, 12.3661 Å; angles 90.00, 90.00, 90.00 degrees
Positions (direct):
Rb 0.2500 0.2500 0.1556
Rb 0.7500 0.7500 0.8444
Tc 0.2500 0.7500 0.5000
Tc 0.7500 0.2500 0.5000
As 0.2500 0.2500 0.6383
As 0.7500 0.7500 0.3617
O 0.2500 0.7500 0.0000
O 0.7500 0.2500 0.0000

***

12.
The following is a DFT calculation (PBE-GGA) of a relaxed RbTcAsO crystal.

Values from the calculation:
**Distance to the lowest polymorph of the same formula**: 921.1 meV/atom
**Symmetry**: P4/nmm
**Calculated density**: 5.79 g/cm³

Cell lengths 4.2216, 4.2216, 8.8354 Å; angles 90.00, 90.00, 90.00 degrees
Positions (direct):
Rb 0.2500 0.7500 0.0000
Rb 0.7500 0.2500 0.0000
Tc 0.2500 0.2500 0.4369
Tc 0.7500 0.7500 0.5631
As 0.2500 0.2500 0.7142
As 0.7500 0.7500 0.2858
O 0.2500 0.7500 0.5000
O 0.7500 0.2500 0.5000

***

- Which of these has the lowest calculated density?
  RbSmAsO

***

- Which of these has the highest calculated density?
  number 2

***

- Which formula does entry 8 have?
  RbTbAsO